Sr2ZrBe, PBEsol geometry, DFT meta-GGA SCAN; total energy = -19.56 eV per atom; SG = P4mm
1.0
3.4728 0.0000 0.0000
0.0000 3.4728 0.0000
0.0000 0.0000 9.5444
Sr Zr Be
2 1 1
Cartesian
0.0000 0.0000 0.0000
1.7364 1.7364 3.5454
0.0000 0.0000 6.2826
1.7364 1.7364 7.3838